No. 1
Computed, not measured: FeTe2Pd after structural relaxation at the PBE-GGA level of DFT.

The structure in POSCAR format:
```
FeTe2Pd
1.0
6.966 0.000 0.000
0.000 6.966 0.000
0.000 0.000 6.966
Fe Te Pd
4 8 4
direct
0.000 0.000 0.000 Fe
0.000 0.500 0.500 Fe
0.500 0.000 0.500 Fe
0.500 0.500 0.000 Fe
0.000 0.000 0.500 Te
0.000 0.500 0.000 Te
0.250 0.250 0.750 Te
0.250 0.750 0.250 Te
0.500 0.000 0.000 Te
0.500 0.500 0.500 Te
0.750 0.250 0.250 Te
0.750 0.750 0.750 Te
0.250 0.250 0.250 Pd
0.250 0.750 0.750 Pd
0.750 0.250 0.750 Pd
0.750 0.750 0.250 Pd
```

Calculated values
crystal system: cubic

---

No. 2
Computed, not measured: TlFeTe3Pd after structural relaxation at the PBE-GGA level of DFT.

The structure in POSCAR format:
```
TlFeTe3Pd
1.0
8.514 0.000 0.000
0.000 3.877 0.000
-4.172 0.000 9.412
Tl Fe Te Pd
2 2 6 2
direct
0.025 0.250 0.286 Tl
0.975 0.750 0.714 Tl
0.465 0.250 0.168 Fe
0.535 0.750 0.832 Fe
0.233 0.750 0.123 Te
0.303 0.750 0.572 Te
0.351 0.250 0.881 Te
0.649 0.750 0.119 Te
0.697 0.250 0.428 Te
0.767 0.250 0.877 Te
0.463 0.750 0.387 Pd
0.537 0.250 0.613 Pd
```

Calculated values
crystal system: monoclinic

---

No. 3
Computed, not measured: TlFePd2 after structural relaxation at the PBE-GGA level of DFT.

The structure in POSCAR format:
```
TlFePd2
1.0
6.408 0.000 0.000
0.000 6.408 0.000
0.000 0.000 6.408
Tl Fe Pd
4 4 8
direct
0.000 0.000 0.000 Tl
0.000 0.500 0.500 Tl
0.500 0.000 0.500 Tl
0.500 0.500 0.000 Tl
0.250 0.250 0.250 Fe
0.250 0.750 0.750 Fe
0.750 0.250 0.750 Fe
0.750 0.750 0.250 Fe
0.000 0.000 0.500 Pd
0.000 0.500 0.000 Pd
0.250 0.250 0.750 Pd
0.250 0.750 0.250 Pd
0.500 0.000 0.000 Pd
0.500 0.500 0.500 Pd
0.750 0.250 0.250 Pd
0.750 0.750 0.750 Pd
```

Calculated values
crystal system: cubic

---

No. 4
Computed, not measured: TlFePd after structural relaxation at the PBE-GGA level of DFT.

The structure in POSCAR format:
```
TlFePd
1.0
6.223 0.000 0.000
0.000 6.223 0.000
0.000 0.000 6.223
Tl Fe Pd
4 4 4
direct
0.000 0.000 0.000 Tl
0.000 0.500 0.500 Tl
0.500 0.000 0.500 Tl
0.500 0.500 0.000 Tl
0.250 0.250 0.750 Fe
0.250 0.750 0.250 Fe
0.750 0.250 0.250 Fe
0.750 0.750 0.750 Fe
0.250 0.250 0.250 Pd
0.250 0.750 0.750 Pd
0.750 0.250 0.750 Pd
0.750 0.750 0.250 Pd
```

Calculated values
crystal system: cubic

---

No. 5
Computed, not measured: TlZnFePd after structural relaxation at the PBE-GGA level of DFT.

The structure in POSCAR format:
```
TlZnFePd
1.0
6.390 0.000 0.000
0.000 6.390 0.000
0.000 0.000 6.390
Tl Zn Fe Pd
4 4 4 4
direct
0.000 0.000 0.000 Tl
0.000 0.500 0.500 Tl
0.500 0.000 0.500 Tl
0.500 0.500 0.000 Tl
0.000 0.000 0.500 Zn
0.000 0.500 0.000 Zn
0.500 0.000 0.000 Zn
0.500 0.500 0.500 Zn
0.250 0.250 0.250 Fe
0.250 0.750 0.750 Fe
0.750 0.250 0.750 Fe
0.750 0.750 0.250 Fe
0.250 0.250 0.750 Pd
0.250 0.750 0.250 Pd
0.750 0.250 0.250 Pd
0.750 0.750 0.750 Pd
```

Calculated values
polymorph energy (0 for the lowest one): 0.0000 eV/atom
crystal system: cubic

---

No. 6
Computed, not measured: UFePd after structural relaxation at the PBE-GGA level of DFT.

The structure in POSCAR format:
```
UFePd
1.0
6.004 0.000 0.000
0.000 6.004 0.000
0.000 0.000 6.004
U Fe Pd
4 4 4
direct
0.000 0.000 0.000 U
0.000 0.500 0.500 U
0.500 0.000 0.500 U
0.500 0.500 0.000 U
0.250 0.250 0.250 Fe
0.250 0.750 0.750 Fe
0.750 0.250 0.750 Fe
0.750 0.750 0.250 Fe
0.000 0.000 0.500 Pd
0.000 0.500 0.000 Pd
0.500 0.000 0.000 Pd
0.500 0.500 0.500 Pd
```

Calculated values
DFT formation energy: 0.224 eV per atom
crystal system: cubic

---

No. 7
Computed, not measured: UFePd after structural relaxation at the PBE-GGA level of DFT.

The structure in POSCAR format:
```
UFePd
1.0
6.197 0.000 0.000
0.000 6.197 0.000
0.000 0.000 6.197
U Fe Pd
4 4 4
direct
0.000 0.000 0.000 U
0.000 0.500 0.500 U
0.500 0.000 0.500 U
0.500 0.500 0.000 U
0.250 0.250 0.750 Fe
0.250 0.750 0.250 Fe
0.750 0.250 0.250 Fe
0.750 0.750 0.750 Fe
0.250 0.250 0.250 Pd
0.250 0.750 0.750 Pd
0.750 0.250 0.750 Pd
0.750 0.750 0.250 Pd
```

Calculated values
DFT formation energy: 0.565 eV per atom
crystal system: cubic

---

No. 8
Computed, not measured: FePdW after structural relaxation at the PBE-GGA level of DFT.

The structure in POSCAR format:
```
FePdW
1.0
5.816 0.000 0.000
0.000 5.816 0.000
0.000 0.000 5.816
Fe Pd W
4 4 4
direct
0.000 0.000 0.000 Fe
0.000 0.500 0.500 Fe
0.500 0.000 0.500 Fe
0.500 0.500 0.000 Fe
0.000 0.000 0.500 Pd
0.000 0.500 0.000 Pd
0.500 0.000 0.000 Pd
0.500 0.500 0.500 Pd
0.250 0.250 0.250 W
0.250 0.750 0.750 W
0.750 0.250 0.750 W
0.750 0.750 0.250 W
```

Calculated values
DFT formation energy: 0.718 eV per atom
polymorph energy (0 for the lowest one): 0.0946 eV/atom
crystal system: cubic

---

No. 9
Computed, not measured: FePdW2 after structural relaxation at the PBE-GGA level of DFT.

The structure in POSCAR format:
```
FePdW2
1.0
6.216 0.000 0.000
0.000 6.216 0.000
0.000 0.000 6.216
Fe Pd W
4 4 8
direct
0.000 0.000 0.000 Fe
0.000 0.500 0.500 Fe
0.500 0.000 0.500 Fe
0.500 0.500 0.000 Fe
0.250 0.250 0.750 Pd
0.250 0.750 0.250 Pd
0.750 0.250 0.250 Pd
0.750 0.750 0.750 Pd
0.000 0.000 0.500 W
0.000 0.500 0.000 W
0.250 0.250 0.250 W
0.250 0.750 0.750 W
0.500 0.000 0.000 W
0.500 0.500 0.500 W
0.750 0.250 0.750 W
0.750 0.750 0.250 W
```

Calculated values
DFT formation energy: 0.332 eV per atom
crystal system: cubic

---

No. 10
Computed, not measured: FePdW after structural relaxation at the PBE-GGA level of DFT.

The structure in POSCAR format:
```
FePdW
1.0
5.735 0.000 0.000
0.000 5.735 0.000
0.000 0.000 5.735
Fe Pd W
4 4 4
direct
0.000 0.000 0.000 Fe
0.000 0.500 0.500 Fe
0.500 0.000 0.500 Fe
0.500 0.500 0.000 Fe
0.250 0.250 0.750 Pd
0.250 0.750 0.250 Pd
0.750 0.250 0.250 Pd
0.750 0.750 0.750 Pd
0.250 0.250 0.250 W
0.250 0.750 0.750 W
0.750 0.250 0.750 W
0.750 0.750 0.250 W
```

Calculated values
DFT formation energy: 0.623 eV per atom
polymorph energy (0 for the lowest one): 0.0000 eV/atom
crystal system: cubic

---

No. 11
Computed, not measured: YFePd2 after structural relaxation at the PBE-GGA level of DFT.

The structure in POSCAR format:
```
YFePd2
1.0
6.522 0.000 0.000
0.000 6.522 0.000
0.000 0.000 6.522
Y Fe Pd
4 4 8
direct
0.000 0.000 0.000 Y
0.000 0.500 0.500 Y
0.500 0.000 0.500 Y
0.500 0.500 0.000 Y
0.250 0.250 0.250 Fe
0.250 0.750 0.750 Fe
0.750 0.250 0.750 Fe
0.750 0.750 0.250 Fe
0.000 0.000 0.500 Pd
0.000 0.500 0.000 Pd
0.250 0.250 0.750 Pd
0.250 0.750 0.250 Pd
0.500 0.000 0.000 Pd
0.500 0.500 0.500 Pd
0.750 0.250 0.250 Pd
0.750 0.750 0.750 Pd
```

Calculated values
DFT formation energy: -0.267 eV per atom
crystal system: cubic

---

No. 12
Computed, not measured: Y2FePd after structural relaxation at the PBE-GGA level of DFT.

The structure in POSCAR format:
```
Y2FePd
1.0
6.737 0.000 0.000
0.000 6.737 0.000
0.000 0.000 6.737
Y Fe Pd
8 4 4
direct
0.000 0.000 0.000 Y
0.000 0.500 0.500 Y
0.250 0.250 0.250 Y
0.250 0.750 0.750 Y
0.500 0.000 0.500 Y
0.500 0.500 0.000 Y
0.750 0.250 0.750 Y
0.750 0.750 0.250 Y
0.250 0.250 0.750 Fe
0.250 0.750 0.250 Fe
0.750 0.250 0.250 Fe
0.750 0.750 0.750 Fe
0.000 0.000 0.500 Pd
0.000 0.500 0.000 Pd
0.500 0.000 0.000 Pd
0.500 0.500 0.500 Pd
```

Calculated values
DFT formation energy: 0.028 eV per atom
crystal system: cubic

---

No. 13
Computed, not measured: YFe2Pd after structural relaxation at the PBE-GGA level of DFT.

The structure in POSCAR format:
```
YFe2Pd
1.0
6.409 0.000 0.000
0.000 6.409 0.000
0.000 0.000 6.409
Y Fe Pd
4 8 4
direct
0.000 0.000 0.000 Y
0.000 0.500 0.500 Y
0.500 0.000 0.500 Y
0.500 0.500 0.000 Y
0.000 0.000 0.500 Fe
0.000 0.500 0.000 Fe
0.250 0.250 0.250 Fe
0.250 0.750 0.750 Fe
0.500 0.000 0.000 Fe
0.500 0.500 0.500 Fe
0.750 0.250 0.750 Fe
0.750 0.750 0.250 Fe
0.250 0.250 0.750 Pd
0.250 0.750 0.250 Pd
0.750 0.250 0.250 Pd
0.750 0.750 0.750 Pd
```

Calculated values
DFT formation energy: -0.008 eV per atom
crystal system: cubic

---

No. 14
Computed, not measured: YZnFePd after structural relaxation at the PBE-GGA level of DFT.

The structure in POSCAR format:
```
YZnFePd
1.0
6.524 0.000 0.000
0.000 6.524 0.000
0.000 0.000 6.524
Y Zn Fe Pd
4 4 4 4
direct
0.000 0.000 0.000 Y
0.000 0.500 0.500 Y
0.500 0.000 0.500 Y
0.500 0.500 0.000 Y
0.000 0.000 0.500 Zn
0.000 0.500 0.000 Zn
0.500 0.000 0.000 Zn
0.500 0.500 0.500 Zn
0.250 0.250 0.750 Fe
0.250 0.750 0.250 Fe
0.750 0.250 0.250 Fe
0.750 0.750 0.750 Fe
0.250 0.250 0.250 Pd
0.250 0.750 0.750 Pd
0.750 0.250 0.750 Pd
0.750 0.750 0.250 Pd
```

Calculated values
DFT formation energy: -0.174 eV per atom
polymorph energy (0 for the lowest one): 0.0000 eV/atom
crystal system: cubic

---

No. 15
Computed, not measured: YZnFePd after structural relaxation at the PBE-GGA level of DFT.

The structure in POSCAR format:
```
YZnFePd
1.0
6.605 0.000 0.000
0.000 6.605 0.000
0.000 0.000 6.605
Y Zn Fe Pd
4 4 4 4
direct
0.000 0.000 0.000 Y
0.000 0.500 0.500 Y
0.500 0.000 0.500 Y
0.500 0.500 0.000 Y
0.250 0.250 0.250 Zn
0.250 0.750 0.750 Zn
0.750 0.250 0.750 Zn
0.750 0.750 0.250 Zn
0.000 0.000 0.500 Fe
0.000 0.500 0.000 Fe
0.500 0.000 0.000 Fe
0.500 0.500 0.500 Fe
0.250 0.250 0.750 Pd
0.250 0.750 0.250 Pd
0.750 0.250 0.250 Pd
0.750 0.750 0.750 Pd
```

Calculated values
DFT formation energy: -0.146 eV per atom
polymorph energy (0 for the lowest one): 0.0280 eV/atom
crystal system: cubic

---

No. 16
Computed, not measured: ZnFe2Pd after structural relaxation at the PBE-GGA level of DFT.

The structure in POSCAR format:
```
ZnFe2Pd
1.0
5.968 0.000 0.000
0.000 5.968 0.000
0.000 0.000 5.968
Zn Fe Pd
4 8 4
direct
0.000 0.000 0.000 Zn
0.000 0.500 0.500 Zn
0.500 0.000 0.500 Zn
0.500 0.500 0.000 Zn
0.000 0.000 0.500 Fe
0.000 0.500 0.000 Fe
0.250 0.250 0.750 Fe
0.250 0.750 0.250 Fe
0.500 0.000 0.000 Fe
0.500 0.500 0.500 Fe
0.750 0.250 0.250 Fe
0.750 0.750 0.750 Fe
0.250 0.250 0.250 Pd
0.250 0.750 0.750 Pd
0.750 0.250 0.750 Pd
0.750 0.750 0.250 Pd
```

Calculated values
DFT formation energy: -0.066 eV per atom
crystal system: cubic

---

No. 17
Computed, not measured: Zn2FePd after structural relaxation at the PBE-GGA level of DFT.

The structure in POSCAR format:
```
Zn2FePd
1.0
6.067 0.000 0.000
0.000 6.067 0.000
0.000 0.000 6.067
Zn Fe Pd
8 4 4
direct
0.000 0.000 0.000 Zn
0.000 0.500 0.500 Zn
0.250 0.250 0.250 Zn
0.250 0.750 0.750 Zn
0.500 0.000 0.500 Zn
0.500 0.500 0.000 Zn
0.750 0.250 0.750 Zn
0.750 0.750 0.250 Zn
0.250 0.250 0.750 Fe
0.250 0.750 0.250 Fe
0.750 0.250 0.250 Fe
0.750 0.750 0.750 Fe
0.000 0.000 0.500 Pd
0.000 0.500 0.000 Pd
0.500 0.000 0.000 Pd
0.500 0.500 0.500 Pd
```

Calculated values
DFT formation energy: -0.114 eV per atom
crystal system: cubic

---

No. 18
Computed, not measured: ZrFePd after structural relaxation at the PBE-GGA level of DFT.

The structure in POSCAR format:
```
ZrFePd
1.0
6.018 0.000 0.000
0.000 6.018 0.000
0.000 0.000 6.018
Zr Fe Pd
4 4 4
direct
0.000 0.000 0.000 Zr
0.000 0.500 0.500 Zr
0.500 0.000 0.500 Zr
0.500 0.500 0.000 Zr
0.250 0.250 0.750 Fe
0.250 0.750 0.250 Fe
0.750 0.250 0.250 Fe
0.750 0.750 0.750 Fe
0.000 0.000 0.500 Pd
0.000 0.500 0.000 Pd
0.500 0.000 0.000 Pd
0.500 0.500 0.500 Pd
```

Calculated values
DFT formation energy: 0.092 eV per atom
crystal system: cubic

---

No. 19
Computed, not measured: ZrFePd after structural relaxation at the PBE-GGA level of DFT.

The structure in POSCAR format:
```
ZrFePd
1.0
6.069 0.000 0.000
0.000 6.069 0.000
0.000 0.000 6.069
Zr Fe Pd
4 4 4
direct
0.000 0.000 0.000 Zr
0.000 0.500 0.500 Zr
0.500 0.000 0.500 Zr
0.500 0.500 0.000 Zr
0.250 0.250 0.750 Fe
0.250 0.750 0.250 Fe
0.750 0.250 0.250 Fe
0.750 0.750 0.750 Fe
0.250 0.250 0.250 Pd
0.250 0.750 0.750 Pd
0.750 0.250 0.750 Pd
0.750 0.750 0.250 Pd
```

Calculated values
DFT formation energy: 0.419 eV per atom
crystal system: cubic

---

No. 20
Computed, not measured: ZrFe2Pd after structural relaxation at the PBE-GGA level of DFT.

The structure in POSCAR format:
```
ZrFe2Pd
1.0
6.245 0.000 0.000
0.000 6.245 0.000
0.000 0.000 6.245
Zr Fe Pd
4 8 4
direct
0.000 0.000 0.000 Zr
0.000 0.500 0.500 Zr
0.500 0.000 0.500 Zr
0.500 0.500 0.000 Zr
0.000 0.000 0.500 Fe
0.000 0.500 0.000 Fe
0.250 0.250 0.250 Fe
0.250 0.750 0.750 Fe
0.500 0.000 0.000 Fe
0.500 0.500 0.500 Fe
0.750 0.250 0.750 Fe
0.750 0.750 0.250 Fe
0.250 0.250 0.750 Pd
0.250 0.750 0.250 Pd
0.750 0.250 0.250 Pd
0.750 0.750 0.750 Pd
```

Calculated values
DFT formation energy: -0.111 eV per atom
crystal system: cubic

---

Sequential total energy output: -4.390 -4.365 -5.172 -4.682 -4.130 -8.037 -7.695 -8.097 -9.519 -8.191 -6.548 -6.576 -7.073 -5.477 -5.449 -5.830 -4.118 -7.252 -6.925 -7.696 eV/atom
Sequential M_tot output: 13.3 3.3 11.9 11.6 9.9 0.0 0.6 0.1 8.6 1.6 11.2 9.4 19.5 8.7 11.0 20.3 12.0 6.4 5.2 18.1 Bohr magnetons per cell